Here is a geometry-optimized LiV3P3O11 structure from the Alexandria database. Energies are from GGA+U.

Properties
Total magnetic moment in μB/f.u.: 9.0
SG: P2_1/c (14)
V in Å³/atom: 12.56
Final energy in eV/atom: -7.403

Unit cell a=9.876 b=9.861 c=10.388 alpha=90.00 beta=116.61 gamma=90.00
Fractional positions:
Li: 0.143 0.161 0.243
Li: 0.143 0.339 0.743
Li: 0.857 0.661 0.257
Li: 0.857 0.839 0.757
V: 0.231 0.637 0.883
V: 0.231 0.863 0.383
V: 0.407 0.130 0.906
V: 0.407 0.370 0.406
V: 0.424 0.642 0.239
V: 0.424 0.858 0.739
V: 0.576 0.142 0.261
V: 0.576 0.358 0.761
V: 0.593 0.630 0.594
V: 0.593 0.870 0.094
V: 0.769 0.137 0.617
V: 0.769 0.363 0.117
P: 0.106 0.554 0.269
P: 0.106 0.946 0.769
P: 0.265 0.563 0.582
P: 0.265 0.937 0.082
P: 0.388 0.156 0.572
P: 0.388 0.344 0.072
P: 0.612 0.656 0.928
P: 0.612 0.844 0.428
P: 0.735 0.063 0.918
P: 0.735 0.437 0.418
P: 0.894 0.054 0.231
P: 0.894 0.446 0.731
O: 0.024 0.530 0.833
O: 0.024 0.970 0.333
O: 0.073 0.705 0.261
O: 0.073 0.795 0.761
O: 0.133 0.509 0.434
O: 0.133 0.991 0.934
O: 0.231 0.514 0.703
O: 0.231 0.986 0.203
O: 0.260 0.522 0.270
O: 0.260 0.978 0.770
O: 0.266 0.220 0.433
O: 0.266 0.280 0.933
O: 0.277 0.719 0.574
O: 0.277 0.781 0.074
O: 0.382 0.001 0.566
O: 0.382 0.499 0.066
O: 0.385 0.217 0.710
O: 0.385 0.283 0.210
O: 0.415 0.005 0.092
O: 0.415 0.495 0.592
O: 0.457 0.721 0.917
O: 0.457 0.779 0.417
O: 0.543 0.221 0.583
O: 0.543 0.279 0.083
O: 0.585 0.505 0.408
O: 0.585 0.995 0.908
O: 0.615 0.717 0.790
O: 0.615 0.783 0.290
O: 0.618 0.501 0.934
O: 0.618 0.999 0.434
O: 0.723 0.219 0.926
O: 0.723 0.281 0.426
O: 0.734 0.720 0.067
O: 0.734 0.780 0.567
O: 0.740 0.022 0.230
O: 0.740 0.478 0.730
O: 0.769 0.014 0.797
O: 0.769 0.486 0.297
O: 0.867 0.009 0.066
O: 0.867 0.491 0.566
O: 0.927 0.205 0.239
O: 0.927 0.295 0.739
O: 0.976 0.030 0.667
O: 0.976 0.470 0.167